First-principles (PBE-GGA) data for a relaxed structure of YPaIn2O8, as listed in the Alexandria database.

Cell and atoms, written as CIF:
```
data_YPaIn2O8
_space_group_name_H-M_alt 'I -4 m 2'
_space_group_IT_number 119
_space_group_name_Hall 'I -4 -2'
_cell_length_a 7.0527
_cell_length_b 7.0527
_cell_length_c 7.3711
_cell_angle_alpha 90.00
_cell_angle_beta 90.00
_cell_angle_gamma 90.00
loop_
_atom_site_label
_atom_site_type_symbol
_atom_site_fract_x
_atom_site_fract_y
_atom_site_fract_z
Y1 Y 0.0000 0.0000 0.0000
Pa1 Pa 0.0000 0.5000 0.7500
In1 In 0.0000 0.0000 0.5000
In2 In 0.0000 0.5000 0.2500
O1 O 0.0000 0.1952 0.7072
O2 O 0.0000 0.3179 0.0332
```

Results
The calculation puts the raw formation energy at -2122.7 meV per atom. The total magnetic moment comes out at 0.112 μB per atom. The calculation puts the total DFT energy (no corrections) at -7.215 eV/atom.